SrHoTm: relaxed, PBE.

Summary:
crystal system: monoclinic
E above lowest polymorph: 18 kJ/mol of formula units
E_form: 0.216 eV per atom

Cell lengths 6.182, 6.182, 10.441 Å; angles 92.74, 92.74, 34.04 degrees
Element x y z (fractional)
Sr (0.134, 0.134, 0.098)
Sr (0.866, 0.866, 0.902)
Ho (0.409, 0.409, 0.285)
Ho (0.591, 0.591, 0.715)
Tm (0.132, 0.132, 0.444)
Tm (0.868, 0.868, 0.556)

=====

Nd3Ho3PuTe8: relaxed, PBE.

Summary:
formation energy (no corrections): -1.351 eV/atom
crystal system: trigonal

Cell lengths 8.836, 8.836, 8.836 Å; angles 59.66, 59.66, 59.66 degrees
Element x y z (fractional)
Nd (0.000, 0.500, 0.500)
Nd (0.500, 0.000, 0.500)
Nd (0.500, 0.500, 0.000)
Ho (0.000, 0.000, 0.500)
Ho (0.000, 0.500, 0.000)
Ho (0.500, 0.000, 0.000)
Pu (0.500, 0.500, 0.500)
Te (0.235, 0.756, 0.756)
Te (0.244, 0.244, 0.765)
Te (0.244, 0.765, 0.244)
Te (0.246, 0.246, 0.246)
Te (0.754, 0.754, 0.754)
Te (0.756, 0.235, 0.756)
Te (0.756, 0.756, 0.235)
Te (0.765, 0.244, 0.244)

=====

PrScBr: relaxed, PBE.

Summary:
formation energy (no corrections): -0.738 eV/atom
crystal system: orthorhombic
E above lowest polymorph: 0 kJ/mol of formula units

Cell lengths 8.195, 8.195, 5.774 Å; angles 90.00, 90.00, 153.93 degrees
Element x y z (fractional)
Pr (0.130, 0.870, 0.750)
Pr (0.870, 0.130, 0.250)
Sc (0.456, 0.544, 0.750)
Sc (0.544, 0.456, 0.250)
Br (0.192, 0.808, 0.250)
Br (0.808, 0.192, 0.750)

=====

SrCrPd: relaxed, PBE.

Summary:
crystal system: monoclinic
E above lowest polymorph: 14 kJ/mol of formula units
E_form: 0.047 eV per atom

Cell lengths 6.061, 6.061, 7.541 Å; angles 123.11, 123.11, 41.99 degrees
Element x y z (fractional)
Sr (0.070, 0.070, 0.311)
Sr (0.930, 0.930, 0.689)
Cr (0.289, 0.289, 0.909)
Cr (0.711, 0.711, 0.091)
Pd (0.357, 0.357, 0.314)
Pd (0.643, 0.643, 0.686)

=====

CeTm2Ir9: relaxed, PBE.

Summary:
crystal system: trigonal
E_form: -0.620 eV per atom

Cell lengths 9.274, 9.274, 9.274 Å; angles 33.24, 33.24, 33.24 degrees
Element x y z (fractional)
Ce (0.000, 0.000, 0.000)
Tm (0.140, 0.140, 0.140)
Tm (0.860, 0.860, 0.860)
Ir (0.082, 0.583, 0.583)
Ir (0.333, 0.333, 0.333)
Ir (0.417, 0.417, 0.918)
Ir (0.417, 0.918, 0.417)
Ir (0.500, 0.500, 0.500)
Ir (0.583, 0.082, 0.583)
Ir (0.583, 0.583, 0.082)
Ir (0.667, 0.667, 0.667)
Ir (0.918, 0.417, 0.417)

=====

LiScTa4: relaxed, PBE.

Summary:
crystal system: cubic
E_form: 0.440 eV per atom

Cell lengths 5.567, 5.567, 5.567 Å; angles 60.00, 60.00, 60.00 degrees
Element x y z (fractional)
Li (0.000, 0.000, 0.000)
Sc (0.750, 0.750, 0.750)
Ta (0.377, 0.377, 0.377)
Ta (0.377, 0.377, 0.870)
Ta (0.377, 0.870, 0.377)
Ta (0.870, 0.377, 0.377)

=====

Th6Co3Ir2Se: relaxed, PBE.

Summary:
formation energy (no corrections): -0.671 eV/atom
crystal system: monoclinic

Cell lengths 9.155, 9.155, 8.331 Å; angles 104.62, 104.62, 25.33 degrees
Element x y z (fractional)
Th (0.002, 0.002, 0.228)
Th (0.325, 0.325, 0.420)
Th (0.336, 0.336, 0.916)
Th (0.664, 0.664, 0.084)
Th (0.675, 0.675, 0.580)
Th (0.998, 0.998, 0.772)
Co (0.161, 0.161, 0.331)
Co (0.500, 0.500, 0.000)
Co (0.839, 0.839, 0.669)
Ir (0.166, 0.166, 0.828)
Ir (0.834, 0.834, 0.172)
Se (0.500, 0.500, 0.500)

=====

PmSb3: relaxed, PBE.

Summary:
formation energy (no corrections): -0.507 eV/atom
crystal system: orthorhombic
E above lowest polymorph: 0 kJ/mol of formula units

Cell lengths 11.806, 11.806, 4.486 Å; angles 90.00, 90.00, 158.25 degrees
Element x y z (fractional)
Pm (0.072, 0.928, 0.750)
Pm (0.928, 0.072, 0.250)
Sb (0.181, 0.819, 0.250)
Sb (0.318, 0.682, 0.250)
Sb (0.448, 0.552, 0.750)
Sb (0.552, 0.448, 0.250)
Sb (0.682, 0.318, 0.750)
Sb (0.819, 0.181, 0.750)

=====

SrLiH3: relaxed, PBE.

Summary:
crystal system: trigonal
E above lowest polymorph: 90 kJ/mol of formula units

Cell lengths 6.025, 6.025, 6.025 Å; angles 55.25, 55.25, 55.25 degrees
Element x y z (fractional)
Sr (0.126, 0.126, 0.126)
Sr (0.874, 0.874, 0.874)
Li (0.343, 0.343, 0.343)
Li (0.657, 0.657, 0.657)
H (0.052, 0.685, 0.502)
H (0.315, 0.498, 0.948)
H (0.498, 0.948, 0.315)
H (0.502, 0.052, 0.685)
H (0.685, 0.502, 0.052)
H (0.948, 0.315, 0.498)

=====

Y2C: relaxed, PBE.

Summary:
crystal system: orthorhombic
E_form: -0.094 eV per atom

Cell lengths 6.471, 3.434, 11.876 Å; angles 90.00, 90.00, 90.00 degrees
Element x y z (fractional)
Y (0.082, 0.250, 0.244)
Y (0.224, 0.750, 0.000)
Y (0.276, 0.250, 0.500)
Y (0.418, 0.750, 0.744)
Y (0.582, 0.250, 0.256)
Y (0.724, 0.750, 0.500)
Y (0.776, 0.250, 0.000)
Y (0.918, 0.750, 0.756)
C (0.085, 0.250, 0.870)
C (0.415, 0.750, 0.370)
C (0.585, 0.250, 0.630)
C (0.915, 0.750, 0.130)

=====

BiSe2O8: relaxed, PBE.

Summary:
formation energy (no corrections): -0.569 eV/atom
crystal system: trigonal

Cell lengths 5.867, 5.867, 7.059 Å; angles 90.00, 90.00, 120.00 degrees
Element x y z (fractional)
Bi (0.000, 0.000, 0.000)
Se (0.333, 0.667, 0.279)
Se (0.667, 0.333, 0.721)
O (0.177, 0.354, 0.203)
O (0.177, 0.823, 0.203)
O (0.333, 0.667, 0.514)
O (0.354, 0.177, 0.797)
O (0.646, 0.823, 0.203)
O (0.667, 0.333, 0.486)
O (0.823, 0.177, 0.797)
O (0.823, 0.646, 0.797)

=====

Cu4PbCl: relaxed, PBE.

Summary:
formation energy (no corrections): 0.190 eV/atom
crystal system: cubic

Cell lengths 5.185, 5.185, 5.185 Å; angles 60.00, 60.00, 60.00 degrees
Element x y z (fractional)
Cu (0.125, 0.125, 0.125)
Cu (0.125, 0.125, 0.624)
Cu (0.125, 0.624, 0.125)
Cu (0.624, 0.125, 0.125)
Pb (0.750, 0.750, 0.750)
Cl (0.500, 0.500, 0.500)

=====

| no. | volume (Å³/atom) | N(E_F) (states/eV per cell) |
| --- | --- | --- |
| 1 | 37.2 | 10.5 |
| 2 | 32.3 | 20.3 |
| 3 | 28.4 | 3.5 |
| 4 | 25.0 | 4.1 |
| 5 | 17.8 | 14.7 |
| 6 | 20.3 | 7.9 |
| 7 | 24.0 | 7.6 |
| 8 | 29.0 | 5.1 |
| 9 | 13.8 | 0.0 |
| 10 | 22.0 | 5.8 |
| 11 | 19.1 | 9.4 |
| 12 | 16.4 | 3.1 |